# 1
Here is TiIrPtC2 after structural relaxation from the Alexandria database. Energies are from PBE.

The structure belongs to space group P4/mmm (No. 123); the cell edges are 3.829, 3.829 and 5.396 Å and the angles 90.00°, 90.00° and 90.00°. The asymmetric unit holds Ti at (0.000, 0.000, 0.000), Ir at (0.500, 0.500, 0.000), Pt at (0.500, 0.500, 0.500) and C at (0.000, 0.500, 0.500).

For the density of states at the Fermi level, the calculation gives 5.33 states/eV per cell. For the formation energy, the calculation gives 1596 meV per atom.

# 2
Here is Cs4SnSe4 after structural relaxation from the Alexandria database. Energies are from PBE.

The structure belongs to space group P4_2/nmc (No. 137, origin choice 2); the cell edges are 10.175, 10.175 and 7.785 Å and the angles 90.00°, 90.00° and 90.00°. The asymmetric unit holds Cs at (0.024, 0.250, 0.094), Sn at (0.250, 0.750, 0.250) and Se at (0.041, 0.750, 0.435).

Its uncorrected formation energy is -1.05 eV per atom. For the density of states at the Fermi level, the calculation gives 0.00 states/eV per cell. For the energy above the most stable polymorph in this dataset, the calculation gives 0 meV/atom.

# 3
Here is Tc2SbW after structural relaxation from the Alexandria database. Energies are from PBE.

The structure belongs to space group I-42d (No. 122); the cell edges are 6.130, 6.130 and 10.256 Å and the angles 90.00°, 90.00° and 90.00°. The asymmetric unit holds Tc at (0.227, 0.250, 0.125), Sb at (0.000, 0.000, 0.500) and W at (0.000, 0.000, 0.000).

Its uncorrected formation energy is 1.24 eV per atom. For the density of states at the Fermi level, the calculation gives 13.72 states/eV per cell.

# 4
Here is MgSiPO2 after structural relaxation from the Alexandria database. Energies are from PBE.

The structure belongs to space group P4/mmm (No. 123); the cell edges are 3.503, 3.503 and 5.147 Å and the angles 90.00°, 90.00° and 90.00°. The asymmetric unit holds Mg at (0.000, 0.000, 0.000), Si at (0.500, 0.500, 0.500), P at (0.500, 0.500, 0.000) and O at (0.000, 0.500, 0.500).

Its uncorrected formation energy is -1.12 eV per atom. For the density of states at the Fermi level, the calculation gives 2.67 states/eV per cell. For the energy above the most stable polymorph in this dataset, the calculation gives 0 meV/atom.

# 5
Here is Ca2TiRuW after structural relaxation from the Alexandria database. Energies are from PBE.

The structure belongs to space group P4/mmm (No. 123); the cell edges are 5.370, 5.370 and 4.508 Å and the angles 90.00°, 90.00° and 90.00°. The asymmetric unit holds Ca at (0.000, 0.500, 0.000), Ti at (0.000, 0.000, 0.000), Ru at (0.500, 0.500, 0.500) and W at (0.000, 0.000, 0.500).

For the density of states at the Fermi level, the calculation gives 7.91 states/eV per cell. For the formation energy, the calculation gives 1692 meV per atom.

# 6
Here is Rb3Sn2Pb9 after structural relaxation from the Alexandria database. Energies are from PBE.

The structure belongs to space group Immm (No. 71); the cell edges are 5.236, 13.355 and 14.293 Å and the angles 90.00°, 90.00° and 90.00°. The asymmetric unit holds Rb at (0.000, 0.000, 0.000), Rb at (0.000, 0.000, 0.285), Sn at (0.000, 0.163, 0.500), Pb at (0.000, 0.286, 0.150), Pb at (0.000, 0.355, 0.376) and Pb at (0.000, 0.500, 0.000).

For the density of states at the Fermi level, the calculation gives 12.88 states/eV per cell. For the formation energy, the calculation gives -90 meV per atom.

no.,calculated volume (Å³/cell)
1,79.1
2,806.0
3,385.4
4,63.1
5,130.0
6,999.5